This record from the Alexandria database describes a geometry-optimized AlBIr2 structure. The functional is GGA-PBE.

Output
Energy above the lowest structure with this stoichiometry, eV per formula unit: 0.20
Energy relative to the elements, eV/atom: -0.291
Total DFT energy (no corrections), eV per atom: -7.33
Crystal system: tetragonal

Cell: 6.618 6.618 5.292 Å, 51.29 51.29 90.00°
Sites, in units of the cell vectors:
B 0.500 0.500 0.000
B 0.250 0.750 0.500
Ir 0.531 0.125 0.250
Ir 0.219 0.625 0.250
Ir 0.375 0.469 0.750
Ir 0.875 0.781 0.750
Al 0.000 0.000 0.000
Al 0.750 0.250 0.500